Arrangement P

5
Lattice="-1.250 -4.207 -1.125 4.042 -1.557 1.331 -2.076 -0.815 5.354" Properties=species:S:1:pos:R:3 comment="SrHgIO2 PBE optimized geometry" crystal_system=tetragonal spacegroup="P4/mmm, No. 123" pbc="T T T"
O -0.625 -2.104 -0.562
O 2.021 -0.778 0.665
I -1.038 -0.407 2.677
Sr 0.358 -3.289 2.780
Hg 0.000 0.000 0.000


Arrangement Q

5
Lattice="-2.467 -2.306 3.152 0.422 -3.864 -2.497 6.010 -1.618 3.520" Properties=species:S:1:pos:R:3 comment="SrHgIO2 PBE optimized geometry" crystal_system=tetragonal spacegroup="P4/mmm, No. 123" pbc="T T T"
Sr 0.000 0.000 0.000
O 0.211 -1.932 -1.248
O -1.234 -1.153 1.576
I 3.005 -0.809 1.760
Hg 1.982 -3.894 2.088


Least stable of them? arrangement P.


Arrangement P

5
Lattice="-5.489 1.415 3.364 -0.154 -6.160 2.340 2.415 1.239 3.420" Properties=species:S:1:pos:R:3 comment="SrHgI2O PBE optimized geometry" crystal_system=tetragonal spacegroup="P4/mmm, No. 123" pbc="T T T"
Sr 0.000 0.000 0.000
Hg -1.614 -1.753 4.562
I -2.744 0.707 1.682
I -0.077 -3.080 1.170
O 1.207 0.620 1.710


Arrangement Q

5
Lattice="-5.951 1.272 -0.813 -0.016 -3.360 -5.138 -1.034 -3.409 2.232" Properties=species:S:1:pos:R:3 comment="SrHgI2O PBE optimized geometry" crystal_system=tetragonal spacegroup="P4/mmm, No. 123" pbc="T T T"
I -2.975 0.636 -0.407
I -0.008 -1.680 -2.569
Hg 0.000 0.000 0.000
O -0.517 -1.704 1.116
Sr -3.500 -2.748 -1.860


Least stable of them? arrangement P.


Arrangement P

5
Lattice="-1.537 2.308 5.152 -5.581 0.179 -1.745 -0.566 -3.597 1.442" Properties=species:S:1:pos:R:3 comment="TaHgI2O PBE optimized geometry" crystal_system=tetragonal spacegroup="P4/mmm, No. 123" pbc="T T T"
I -2.791 0.089 -0.872
I -0.768 1.154 2.576
Hg -3.842 -0.555 2.425
Ta 0.000 0.000 0.000
O -0.283 -1.799 0.721


Arrangement Q

5
Lattice="-4.035 -2.408 -3.631 1.856 -5.427 1.537 -2.630 -0.060 2.963" Properties=species:S:1:pos:R:3 comment="TaHgI2O PBE optimized geometry" crystal_system=tetragonal spacegroup="P4/mmm, No. 123" pbc="T T T"
Ta -2.404 -3.948 0.434
Hg 0.000 0.000 0.000
I -2.017 -1.204 -1.815
I 0.928 -2.714 0.768
O -1.315 -0.030 1.481


Least stable of them? arrangement Q.


Arrangement P

5
Lattice="-3.253 -0.508 -2.614 -0.693 -3.823 1.605 -3.970 2.583 4.438" Properties=species:S:1:pos:R:3 comment="TcHgIO2 PBE optimized geometry" crystal_system=tetragonal spacegroup="P4/mmm, No. 123" pbc="T T T"
Hg 0.000 0.000 0.000
O -0.346 -1.912 0.803
O -1.626 -0.254 -1.307
I -1.985 1.291 2.219
Tc -3.958 -0.874 1.714


Arrangement Q

5
Lattice="-1.642 0.620 3.555 3.248 -1.449 1.753 2.434 5.629 0.142" Properties=species:S:1:pos:R:3 comment="TcHgIO2 PBE optimized geometry" crystal_system=tetragonal spacegroup="P4/mmm, No. 123" pbc="T T T"
Hg 2.020 2.400 2.725
I 1.217 2.815 0.071
O -0.821 0.310 1.777
O 1.624 -0.724 0.877
Tc 0.000 0.000 0.000


Least stable of them? arrangement P.


Arrangement P

5
Lattice="-0.781 -6.034 0.196 5.475 -0.791 -2.540 1.687 -0.099 3.668" Properties=species:S:1:pos:R:3 comment="HgTeI2O PBE optimized geometry" crystal_system=tetragonal spacegroup="P4/mmm, No. 123" pbc="T T T"
I -0.390 -3.017 0.098
I 2.738 -0.395 -1.270
Hg 0.000 0.000 0.000
Te 3.191 -3.462 0.662
O 0.844 -0.050 1.834


Arrangement Q

5
Lattice="5.929 0.000 0.000 0.000 5.929 0.000 0.000 0.000 5.817" Properties=species:S:1:pos:R:3 comment="HgTeI2O PBE optimized geometry" crystal_system=tetragonal spacegroup="P4/mmm, No. 123" pbc="T T T"
Hg 0.000 0.000 0.000
I 0.000 2.965 0.000
I 2.965 0.000 0.000
O 2.965 2.965 2.908
Te 0.000 0.000 2.908


Least stable of them? arrangement Q.


Arrangement P

5
Lattice="6.188 0.000 0.000 0.000 6.188 0.000 0.000 0.000 4.082" Properties=species:S:1:pos:R:3 comment="HgTeI2O PBE optimized geometry" crystal_system=tetragonal spacegroup="P4/mmm, No. 123" pbc="T T T"
I 3.094 0.000 0.000
I 0.000 3.094 0.000
Hg 3.094 3.094 2.041
Te 0.000 0.000 0.000
O 0.000 0.000 2.041


Arrangement Q

5
Lattice="5.424 0.000 0.000 0.000 5.424 0.000 0.000 0.000 4.543" Properties=species:S:1:pos:R:3 comment="HgTeI2O PBE optimized geometry" crystal_system=tetragonal spacegroup="P4/mmm, No. 123" pbc="T T T"
O 0.000 0.000 0.000
I 0.000 2.712 0.000
I 2.712 0.000 0.000
Hg 2.712 2.712 2.271
Te 0.000 0.000 2.271


Least stable of them? arrangement Q.


Arrangement P

5
Lattice="-2.869 -3.266 -3.678 -0.633 -3.978 4.025 -5.287 2.641 1.779" Properties=species:S:1:pos:R:3 comment="HgTe2IO PBE optimized geometry" crystal_system=tetragonal spacegroup="P4/mmm, No. 123" pbc="T T T"
Hg 0.000 0.000 0.000
I -2.643 1.321 0.889
O -4.394 -2.301 1.063
Te -1.435 -1.633 -1.839
Te -0.316 -1.989 2.013


Arrangement Q

5
Lattice="-4.295 0.263 1.275 -1.294 -0.386 -4.280 -0.248 -7.815 0.780" Properties=species:S:1:pos:R:3 comment="HgTe2IO PBE optimized geometry" crystal_system=tetragonal spacegroup="P4/mmm, No. 123" pbc="T T T"
Te -2.148 0.132 0.637
Te -0.647 -0.193 -2.140
I -0.124 -3.908 0.390
O 0.000 0.000 0.000
Hg -2.919 -3.969 -1.113


Least stable of them? arrangement P.


Arrangement P

5
Lattice="5.798 0.000 0.000 0.000 5.798 0.000 0.000 0.000 3.777" Properties=species:S:1:pos:R:3 comment="TiHgI2O PBE optimized geometry" crystal_system=tetragonal spacegroup="P4/mmm, No. 123" pbc="T T T"
O 0.000 0.000 1.889
I 0.000 2.899 0.000
I 2.899 0.000 0.000
Hg 2.899 2.899 1.889
Ti 0.000 0.000 0.000


Arrangement Q

5
Lattice="-2.321 5.097 -2.188 -4.294 -0.149 4.207 2.363 2.144 2.488" Properties=species:S:1:pos:R:3 comment="TiHgI2O PBE optimized geometry" crystal_system=tetragonal spacegroup="P4/mmm, No. 123" pbc="T T T"
Hg 0.000 0.000 0.000
Ti -2.126 3.546 2.253
I -1.161 2.549 -1.094
I -2.147 -0.075 2.104
O 1.181 1.072 1.244


Least stable of them? arrangement Q.


Arrangement P

5
Lattice="-0.619 6.101 1.123 -1.134 0.999 -6.049 -4.031 -0.532 0.668" Properties=species:S:1:pos:R:3 comment="TlHgI2O PBE optimized geometry" crystal_system=tetragonal spacegroup="P4/mmm, No. 123" pbc="T T T"
I -0.567 0.499 -3.024
I -0.310 3.051 0.562
Hg -2.892 3.284 -2.129
O -2.015 -0.266 0.334
Tl 0.000 0.000 0.000


Arrangement Q

5
Lattice="-5.890 1.627 -0.918 0.876 -0.279 -6.111 -1.123 -4.050 0.024" Properties=species:S:1:pos:R:3 comment="TlHgI2O PBE optimized geometry" crystal_system=tetragonal spacegroup="P4/mmm, No. 123" pbc="T T T"
I -2.945 0.814 -0.459
I 0.438 -0.139 -3.056
Tl -3.069 -1.350 -3.503
Hg 0.000 0.000 0.000
O -0.561 -2.025 0.012


Least stable of them? arrangement P.